Mg3SnSb3 | PBE | relaxed

Results
ρ: 4.347 g/cm3
ΔE_f (raw): -0.172 eV/atom
Final energy: -0.235 Ry/atom

Lattice parameters (Å, degrees): 8.7741 8.7741 8.7741 55.30 55.30 55.30
Last column: nearest neighbours and their distance in Å.
Sites, in units of the cell vectors:
Mg1 0.1311 0.7989 0.4328  4 Sb 2.86-2.95
Mg2 0.2011 0.5672 0.8689  4 Sb 2.86-2.95
Mg3 0.4328 0.1311 0.7989  4 Sb 2.86-2.95
Mg4 0.5672 0.8689 0.2011  4 Sb 2.86-2.95
Mg5 0.7989 0.4328 0.1311  4 Sb 2.86-2.95
Mg6 0.8689 0.2011 0.5672  4 Sb 2.86-2.95
Sn1 0.3342 0.3342 0.3342  6 Sb 3.15-3.23
Sn2 0.6658 0.6658 0.6658  6 Sb 3.15-3.23
Sb1 0.0704 0.4342 0.7351  4 Mg 2.86-2.95, 1 Sn 3.15
Sb2 0.2649 0.9296 0.5658  4 Mg 2.86-2.95, 1 Sn 3.15
Sb3 0.4342 0.7351 0.0704  4 Mg 2.86-2.95, 1 Sn 3.15
Sb4 0.5658 0.2649 0.9296  4 Mg 2.86-2.95, 1 Sn 3.15
Sb5 0.7351 0.0704 0.4342  4 Mg 2.86-2.95, 1 Sn 3.15
Sb6 0.9296 0.5658 0.2649  4 Mg 2.86-2.95, 1 Sn 3.15